# PBE-GGA GdAlCu2Si, relaxed
data_GdAlCu2Si
_chemical_formula_sum 'Gd2 Al2 Cu4 Si2'
_space_group_name_H-M_alt 'I -4 m 2'
_space_group_IT_number 119
_space_group_name_Hall 'I -4 -2'
_cell_length_a 3.9574
_cell_length_b 3.9574
_cell_length_c 10.6208
_cell_angle_alpha 90.00
_cell_angle_beta 90.00
_cell_angle_gamma 90.00
loop_
_atom_site_label
_atom_site_fract_x
_atom_site_fract_y
_atom_site_fract_z
Gd1 0.0000 0.0000 0.0000
Al1 0.0000 0.5000 0.2500
Cu1 0.0000 0.0000 0.3854
Si1 0.0000 0.5000 0.7500
# Uncorrected energy = -4.700 eV per atom